1.
Compound: NaThAuSe3
Source: the Open Quantum Materials Database
Functional: PBE-GGA
Structure: optimized geometry

Values from the calculation:
For the density, the calculation gives 7.23 Mg/m³. As for the total magnetization: 0.001 μB/atom. The value obtained for the energy is -59.29 eV per cell.

Structure (POSCAR):
```
NaThAuSe3
1.0
2.1019 -6.9008 0.0000
2.1019 6.9008 0.0000
0.0000 0.0000 10.9123
Na Se Th Au
2 6 2 2
Cartesian
2.1019 -3.6001 8.1842 Na
2.1019 3.6001 2.7281 Na
2.1019 1.9618 10.2946 Se
2.1019 5.6536 8.1842 Se
2.1019 -1.9618 4.8384 Se
2.1019 -1.9618 0.6178 Se
2.1019 -5.6536 2.7281 Se
2.1019 1.9618 6.0739 Se
0.0000 0.0000 5.4562 Th
0.0000 0.0000 0.0000 Th
2.1019 -0.4384 2.7281 Au
2.1019 0.4384 8.1842 Au
```

***

2.
Compound: NaWAu3Se4
Source: the Open Quantum Materials Database
Functional: PBE-GGA
Structure: optimized geometry

Values from the calculation:
For the density, the calculation gives 7.35 Mg/m³. As for the total magnetization: 0.175 μB/atom. The value obtained for the energy is -38.58 eV per cell.

Structure (POSCAR):
```
NaWAu3Se4
1.0
6.3116 0.0000 0.0000
0.0000 6.3116 0.0000
0.0000 0.0000 6.3116
Na Se Au W
1 4 3 1
Cartesian
0.0000 0.0000 0.0000 Na
4.5846 1.7270 4.5846 Se
1.7270 1.7270 1.7270 Se
4.5846 4.5846 1.7270 Se
1.7270 4.5846 4.5846 Se
3.1558 3.1558 0.0000 Au
3.1558 0.0000 3.1558 Au
0.0000 3.1558 3.1558 Au
3.1558 3.1558 3.1558 W
```

***

3.
Compound: NaWAuSe3
Source: the Open Quantum Materials Database
Functional: PBE-GGA
Structure: optimized geometry

Values from the calculation:
For the density, the calculation gives 8.04 Mg/m³. As for the total magnetization: 0.236 μB/atom. The value obtained for the energy is -58.25 eV per cell.

Structure (POSCAR):
```
NaWAuSe3
1.0
1.7969 -7.2046 0.0000
1.7969 7.2046 0.0000
0.0000 0.0000 10.2245
Se Na W Au
6 2 2 2
Cartesian
1.7969 -1.8782 5.2761 Se
1.7969 1.8782 4.9484 Se
1.7969 -6.2297 7.6684 Se
1.7969 6.2297 2.5561 Se
1.7969 -1.8782 10.0607 Se
1.7969 1.8782 0.1638 Se
1.7969 -3.5171 2.5561 Na
1.7969 3.5171 7.6684 Na
0.0000 0.0000 5.1122 W
0.0000 0.0000 0.0000 W
1.7969 -1.2169 7.6684 Au
1.7969 1.2169 2.5561 Au
```

***

4.
Compound: NaYAuSe3
Source: the Open Quantum Materials Database
Functional: PBE-GGA
Structure: optimized geometry

Values from the calculation:
For the density, the calculation gives 6.05 Mg/m³. As for the total magnetization: 0.005 μB/atom. The value obtained for the energy is -110.86 eV per cell.

Structure (POSCAR):
```
NaYAuSe3
1.0
10.6629 0.0000 0.0000
0.0000 4.0071 0.0000
0.0000 0.0000 14.0160
Y Se Na Au
4 12 4 4
Cartesian
0.1940 3.0053 3.4302 Y
5.1375 1.0018 10.4382 Y
5.5255 3.0053 3.5778 Y
10.4689 1.0018 10.5858 Y
7.8101 1.0018 9.2196 Se
10.2639 1.0018 5.4196 Se
0.8347 1.0018 1.4635 Se
5.7305 3.0053 12.4276 Se
2.4786 1.0018 11.8044 Se
9.8282 3.0053 12.5525 Se
8.1843 3.0053 2.2116 Se
0.3990 3.0053 8.5964 Se
4.4967 3.0053 8.4715 Se
4.9325 1.0018 1.5884 Se
6.1662 1.0018 5.5445 Se
2.8529 3.0053 4.7964 Se
2.9739 3.0053 0.2212 Na
2.3576 1.0018 7.2292 Na
7.6891 1.0018 13.7948 Na
8.3054 3.0053 6.7868 Na
2.8203 1.0018 3.0944 Au
7.8426 3.0053 10.9216 Au
8.1518 1.0018 3.9136 Au
2.5112 3.0053 10.1024 Au
```

***

5.
Compound: NaYAuSe3
Source: the Open Quantum Materials Database
Functional: PBE-GGA
Structure: optimized geometry

Values from the calculation:
For the density, the calculation gives 6.04 Mg/m³. As for the total magnetization: 0.001 μB/atom. The value obtained for the energy is -55.44 eV per cell.

Structure (POSCAR):
```
NaYAuSe3
1.0
1.9941 -7.1092 0.0000
1.9941 7.1092 0.0000
0.0000 0.0000 10.5864
Se Y Na Au
6 2 2 2
Cartesian
1.9941 -1.3138 2.6466 Se
1.9941 5.1111 9.9777 Se
1.9941 -5.1111 4.6845 Se
1.9941 -5.1111 0.6088 Se
1.9941 1.3138 7.9398 Se
1.9941 5.1111 5.9020 Se
1.9941 0.0000 0.0000 Y
1.9941 0.0000 5.2932 Y
1.9941 -3.3229 7.9398 Na
1.9941 3.3229 2.6466 Na
1.9941 6.6992 7.9398 Au
1.9941 -6.6992 2.6466 Au
```

***

6.
Compound: NaSi5Au3
Source: the Open Quantum Materials Database
Functional: PBE-GGA
Structure: optimized geometry

Values from the calculation:
For the density, the calculation gives 6.91 Mg/m³. The value obtained for the energy is -34.26 eV per cell.

Structure (POSCAR):
```
NaSi5Au3
1.0
-2.7802 5.0107 1.3773
-1.0252 -2.6099 -5.1838
-4.4822 -3.1692 2.4820
Si Au Na
5 3 1
Cartesian
-2.2411 -1.5846 1.2410 Si
-3.0600 1.8590 -0.3308 Si
-5.8125 -0.0871 1.1934 Si
-5.2275 -2.6273 -0.9937 Si
-2.4750 -0.6812 -2.5178 Si
-2.7537 -2.8895 -1.3509 Au
-4.1438 -0.3841 -0.6622 Au
-3.6312 0.9208 1.9297 Au
0.0000 0.0000 0.0000 Na
```

***

7.
Compound: NaSiAu3
Source: the Open Quantum Materials Database
Functional: PBE-GGA
Structure: optimized geometry

Values from the calculation:
For the density, the calculation gives 9.99 Mg/m³. The value obtained for the energy is -17.83 eV per cell.

Structure (POSCAR):
```
NaSiAu3
1.0
-0.6514 2.2804 3.9164
-0.8886 -4.1677 2.2789
4.7448 -0.1853 0.8970
Na Au Si
1 3 1
Cartesian
0.7228 -0.8159 0.5953 Na
2.7354 -0.1797 3.2359 Au
0.4089 -1.8244 3.8066 Au
2.5888 -2.9223 2.1321 Au
2.8175 -2.4078 4.5469 Si
```

***

8.
Compound: NaSiAu3
Source: the Open Quantum Materials Database
Functional: PBE-GGA
Structure: optimized geometry

Values from the calculation:
For the density, the calculation gives 11.53 Mg/m³. The value obtained for the energy is -143.35 eV per cell.

Structure (POSCAR):
```
NaSiAu3
1.0
-3.2234 8.3930 0.9757
-7.4291 -2.3177 -4.6067
-4.0253 -2.4435 7.7209
Au Na Si
24 8 8
Cartesian
-7.1374 -1.1737 5.5116 Au
-8.5291 -0.0355 3.2389 Au
-11.3532 3.0223 1.3224 Au
-4.3488 -0.4148 0.0019 Au
-11.1648 1.0587 3.7421 Au
-5.8335 3.1719 6.1549 Au
-10.6444 4.5422 -1.2160 Au
-7.4878 3.7885 3.5801 Au
-3.5130 2.5732 0.3477 Au
-6.1488 3.6674 0.8509 Au
-3.6750 5.5718 0.8359 Au
-3.3247 0.6096 2.7674 Au
-7.1901 -0.1566 0.5097 Au
-8.8443 0.4600 -2.0651 Au
-4.0335 -0.9103 5.3058 Au
-8.8046 2.3889 0.0972 Au
-8.4603 4.8475 6.3512 Au
-7.5404 4.8056 -1.4218 Au
-10.3291 4.0467 4.0879 Au
-8.5778 -2.5458 1.3835 Au
-6.1001 6.1777 2.7063 Au
-5.8733 1.2430 3.9926 Au
-6.2175 -1.2156 -2.2614 Au
-11.0028 -1.9399 3.2539 Au
-1.4248 0.3525 0.3970 Na
-6.1252 1.7608 -1.6080 Na
-4.2676 3.8017 3.2463 Na
-13.2531 3.2794 3.6928 Na
-8.9681 5.2100 1.2414 Na
-5.7097 -1.5781 2.8484 Na
-8.5526 1.8711 5.6977 Na
-10.4102 -0.1698 0.8435 Na
-9.1538 2.2650 2.5506 Si
-9.0185 2.9011 -2.4740 Si
-6.1185 6.1809 0.0759 Si
-8.5593 -2.5490 4.0139 Si
-6.2538 5.5448 5.1005 Si
-5.5241 1.3669 1.5392 Si
-8.4240 -1.9129 -1.0107 Si
-5.6593 0.7308 6.5638 Si
```

***

9.
Compound: NaSmAu
Source: the Open Quantum Materials Database
Functional: PBE-GGA
Structure: optimized geometry

Values from the calculation:
For the density, the calculation gives 7.17 Mg/m³. As for the total magnetization: 0.002 μB/atom. The value obtained for the energy is -10.21 eV per cell.

Structure (POSCAR):
```
NaSmAu
1.0
1.1639 -1.6132 4.5315
-2.7679 -3.4784 2.1750
1.7998 -4.5690 0.6135
Na Au Sm
1 1 1
Cartesian
0.0490 -2.4152 1.8300 Na
0.0000 0.0000 0.0000 Au
0.1469 -7.2455 5.4900 Sm
```

***

10.
Compound: NaSmAu
Source: the Open Quantum Materials Database
Functional: PBE-GGA
Structure: optimized geometry

Values from the calculation:
For the density, the calculation gives 7.12 Mg/m³. As for the total magnetization: 0.011 μB/atom. The value obtained for the energy is -9.10 eV per cell.

Structure (POSCAR):
```
NaSmAu
1.0
0.0000 3.5092 3.5092
3.5092 0.0000 3.5092
3.5092 3.5092 0.0000
Au Na Sm
1 1 1
Cartesian
1.7546 1.7546 1.7546 Au
5.2638 5.2638 5.2638 Na
0.0000 0.0000 0.0000 Sm
```

***

11.
Compound: NaSmTe3Au
Source: the Open Quantum Materials Database
Functional: PBE-GGA
Structure: optimized geometry

Values from the calculation:
For the density, the calculation gives 6.81 Mg/m³. As for the total magnetization: 0.002 μB/atom. The value obtained for the energy is -95.34 eV per cell.

Structure (POSCAR):
```
NaSmTe3Au
1.0
11.3249 0.0000 0.0000
0.0000 4.2339 0.0000
0.0000 0.0000 15.3132
Na Au Te Sm
4 4 12 4
Cartesian
8.2565 3.1754 14.9793 Na
2.5940 3.1754 7.9905 Na
3.0684 1.0585 0.3339 Na
8.7309 1.0585 7.3227 Na
2.6774 1.0585 11.0684 Au
8.3398 1.0585 11.9015 Au
8.6476 3.1754 4.2448 Au
2.9851 3.1754 3.4118 Au
6.1739 1.0585 13.6467 Te
10.8135 3.1754 5.9901 Te
0.8983 3.1754 1.5908 Te
4.7642 1.0585 9.2474 Te
2.6418 3.1754 12.9114 Te
3.0207 1.0585 5.2548 Te
5.1511 3.1754 1.6665 Te
8.6831 1.0585 2.4018 Te
8.3043 3.1754 10.0584 Te
6.5608 3.1754 6.0658 Te
10.4266 1.0585 13.7225 Te
0.5114 1.0585 9.3231 Te
11.1249 3.1754 11.5234 Sm
0.2001 1.0585 3.7898 Sm
5.8625 1.0585 3.8668 Sm
5.4624 3.1754 11.4464 Sm
```

***

12.
Compound: NaSmTe3Au
Source: the Open Quantum Materials Database
Functional: PBE-GGA
Structure: optimized geometry

Values from the calculation:
For the density, the calculation gives 6.87 Mg/m³. As for the total magnetization: 0.003 μB/atom. The value obtained for the energy is -47.67 eV per cell.

Structure (POSCAR):
```
NaSmTe3Au
1.0
2.1112 -7.6264 0.0000
2.1112 7.6264 0.0000
0.0000 0.0000 11.3123
Te Au Na Sm
6 2 2 2
Cartesian
2.1112 5.4133 10.6091 Te
2.1112 -5.4133 0.7031 Te
2.1112 -1.4179 2.8281 Te
2.1112 -5.4133 4.9530 Te
2.1112 1.4179 8.4842 Te
2.1112 5.4133 6.3593 Te
2.1112 -7.1938 2.8281 Au
2.1112 7.1938 8.4842 Au
2.1112 -3.5263 8.4842 Na
2.1112 3.5263 2.8281 Na
2.1112 0.0000 0.0000 Sm
2.1112 0.0000 5.6561 Sm
```

***

- Number 3 is which compound?
  NaWAuSe3

***

- Among the records above, which one has the highest density?
  number 8

***

- Which of these has the highest energy?
  number 10